Run a
Compound: Ce2MnSe2O2
Source: Alexandria via LeMat-Bulk
Functional: PBE with a Hubbard U
Structure: relaxed

Computed properties:
**Space group**: C2/m, No. 12
**Magnetic moment**: 7.01 μB/cell

Unit cell a=6.1433 b=6.1433 c=7.1479 alpha=119.97 beta=119.97 gamma=37.10
Element x y z (fractional)
Ce1 0.1879 0.1879 0.2410
Ce2 0.8121 0.8121 0.7590
Mn1 0.0000 0.0000 0.5000
Se1 0.4388 0.4388 0.1778
Se2 0.5612 0.5612 0.8222
O1 0.2018 0.2018 0.5850
O2 0.7982 0.7982 0.4150

Run b
Compound: Ce2MnSe2O2
Source: Alexandria via LeMat-Bulk
Functional: PBE with a Hubbard U
Structure: relaxed

Computed properties:
**Space group**: P-4m2, No. 115
**Magnetic moment**: 7.03 μB/cell

Unit cell a=3.9810 b=3.9810 c=9.3153 alpha=90.00 beta=90.00 gamma=90.00
Element x y z (fractional)
Ce1 0.0000 0.5000 0.1326
Ce2 0.5000 0.0000 0.8674
Mn1 0.5000 0.5000 0.5000
Se1 0.0000 0.5000 0.6818
Se2 0.5000 0.0000 0.3182
O1 0.0000 0.0000 0.0000
O2 0.5000 0.5000 0.0000

Most stable one: run b, least stable one: run a.